[1]
Computed, not measured: a relaxed structure of CoP2Ir at the PBE level of DFT.

The structure in POSCAR format:
```
CoP2Ir
1.0
0.0000 2.9379 2.9379
2.9379 0.0000 2.9379
2.9379 2.9379 0.0000
Co P Ir
1 2 1
direct
0.0000 0.0000 0.0000
0.2500 0.2500 0.2500
0.7500 0.7500 0.7500
0.5000 0.5000 0.5000
```

- Total moment: 0.41 μB/atom
- Formation energy: 0.1 eV/f.u.

***

[2]
Computed, not measured: a relaxed structure of CoP3Ir at the PBE level of DFT.

The structure in POSCAR format:
```
CoP3Ir
1.0
-3.3119 1.5821 0.7007
-1.9844 -3.6909 -1.0360
-0.4351 -2.6275 3.8830
Ir P Co
1 3 1
direct
0.7908 0.1469 0.4069
0.2909 0.8953 0.2552
0.2904 0.3804 0.5897
0.7910 0.5711 0.9729
0.2909 0.8104 0.8093
```

- Total moment: 0.00 μB/atom
- Formation energy: -1.5 eV/f.u.

***

no.,distance to the lowest polymorph of the same formula (eV per atom),final energy (eV per atom)
1,0.416,-6.676
2,0.016,-6.749